(1)
This record from the Alexandria database describes an optimized crystal structure of CrGeP2S. The functional is PBE-GGA.

```
CrGeP2S
1.0
-0.864 -2.358 -3.506
-2.618 -2.510 2.333
-3.951 3.093 -1.106
S P Ge Cr
1 2 1 1
Cartesian
-1.975 1.546 -0.553
-1.309 -1.255 1.166
-0.432 -1.179 -1.753
-3.716 -0.887 -1.140
0.000 0.000 0.000
```

Summary:
Crystal system ... tetragonal
Space-group type ... P4/mmm, No. 123
ΔE_f (raw) ... 0.43 eV/atom
Total DFT energy (no corrections) ... -5.4069 eV per atom


(2)
This record from the Alexandria database describes an optimized crystal structure of Sc2CrGeP. The functional is PBE-GGA.

```
Sc2CrGeP
1.0
-0.424 4.156 2.374
-3.114 -1.959 2.873
3.554 -1.323 2.951
Cr P Sc Ge
1 1 2 1
Cartesian
0.008 0.437 4.099
0.000 0.000 0.000
1.777 -0.661 1.475
-0.212 2.078 1.187
-1.557 -0.979 1.437
```

Summary:
Crystal system ... tetragonal
Space-group type ... P4/mmm, No. 123
Total DFT energy (no corrections) ... -5.9706 eV per atom


(3)
This record from the Alexandria database describes an optimized crystal structure of PaCrGe. The functional is PBE-GGA.

```
PaCrGe
1.0
5.052 0.023 0.037
-2.151 5.223 -0.325
0.751 2.633 4.246
Cr Pa Ge
2 2 2
Cartesian
4.086 0.609 0.983
1.575 2.132 3.439
3.467 2.946 0.372
1.316 4.246 2.480
4.136 1.973 3.182
1.516 0.774 1.249
```

Summary:
Crystal system ... orthorhombic
Space-group type ... Fmm2, No. 42
Total DFT energy (no corrections) ... -7.7910 eV per atom


(4)
This record from the Alexandria database describes an optimized crystal structure of PaCrGe. The functional is PBE-GGA.

```
PaCrGe
1.0
3.348 0.000 0.000
0.000 4.429 0.000
0.000 -2.214 3.835
Ge Pa Cr
1 1 1
Cartesian
2.790 2.214 1.278
1.116 0.000 2.557
2.790 0.000 0.000
```

Summary:
Crystal system ... hexagonal
Space-group type ... P-6m2, No. 187
Total DFT energy (no corrections) ... -8.0507 eV per atom


(5)
This record from the Alexandria database describes an optimized crystal structure of PaCrGe2. The functional is PBE-GGA.

```
PaCrGe2
1.0
-3.332 0.600 0.221
-0.514 -1.818 -2.817
-0.700 -5.160 3.458
Pa Ge Cr
1 2 1
Cartesian
-2.273 -3.189 0.431
-0.142 -1.043 0.699
-0.559 -4.117 2.759
-1.923 -0.609 -1.298
```

Summary:
Crystal system ... tetragonal
Space-group type ... P4/mmm, No. 123
Total DFT energy (no corrections) ... -7.1248 eV per atom


(6)
This record from the Alexandria database describes an optimized crystal structure of Pa2CrGe. The functional is PBE-GGA.

```
Pa2CrGe
1.0
4.329 0.000 0.000
0.000 4.269 0.000
0.000 0.000 4.269
Cr Pa Ge
1 2 1
Cartesian
2.164 0.000 0.000
0.000 2.134 0.000
0.000 0.000 2.134
2.164 2.134 2.134
```

Summary:
Crystal system ... tetragonal
Space-group type ... P4/mmm, No. 123
Total DFT energy (no corrections) ... -8.4158 eV per atom


(7)
This record from the Alexandria database describes an optimized crystal structure of PaCrGe2. The functional is PBE-GGA.

```
PaCrGe2
1.0
4.247 0.000 0.000
2.124 3.678 0.000
2.124 1.226 4.843
Ge Cr Pa
2 1 1
Cartesian
2.124 1.226 1.576
6.371 3.678 3.267
4.247 2.452 2.422
0.000 0.000 0.000
```

Summary:
Crystal system ... trigonal
Space-group type ... R-3m, No. 166
Total DFT energy (no corrections) ... -7.3526 eV per atom


(8)
This record from the Alexandria database describes an optimized crystal structure of Pa2CrGe. The functional is PBE-GGA.

```
Pa2CrGe
1.0
-1.905 -1.248 2.096
0.953 -0.391 2.919
-3.669 8.431 3.969
Pa Cr Ge
2 1 1
Cartesian
-1.748 0.495 5.561
-2.872 6.298 3.423
0.000 0.000 0.000
-2.310 3.396 4.492
```

Summary:
Crystal system ... trigonal
Space-group type ... R-3m, No. 166
Total DFT energy (no corrections) ... -7.9971 eV per atom


(9)
This record from the Alexandria database describes an optimized crystal structure of Pa3Cr2Ge4. The functional is PBE-GGA.

```
Pa3Cr2Ge4
1.0
4.169 0.000 1.231
1.636 5.023 2.135
-0.251 0.860 8.521
Ge Pa Cr
4 3 2
Cartesian
4.990 4.217 6.121
3.833 4.203 10.039
0.563 1.666 5.766
1.720 1.679 1.848
3.255 2.493 4.325
2.299 3.390 7.562
0.000 0.000 0.000
2.773 0.630 5.956
2.780 5.253 5.931
```

Summary:
Crystal system ... monoclinic
Space-group type ... C2/m, No. 12
Total DFT energy (no corrections) ... -7.6816 eV per atom


(10)
This record from the Alexandria database describes an optimized crystal structure of PaCr3Ge3. The functional is PBE-GGA.

```
PaCr3Ge3
1.0
-5.609 1.468 -3.402
-0.870 -6.521 -1.380
-3.601 -0.711 5.632
Pa Ge Cr
2 6 6
Cartesian
-5.040 -2.882 0.425
0.000 0.000 0.000
-2.453 -5.247 1.781
-3.705 0.556 -0.293
-2.018 -1.986 2.471
-4.642 -2.159 -3.241
-5.506 0.201 2.523
-1.837 -2.894 -1.540
-3.457 -4.157 -2.736
-3.022 -0.896 -2.046
-3.203 0.011 1.965
-3.136 -3.794 3.534
-6.008 0.745 0.265
-1.335 -3.439 0.718
```

Summary:
Crystal system ... cubic
Space-group type ... Pm-3n, No. 223
Total DFT energy (no corrections) ... -6.8281 eV per atom


(11)
This record from the Alexandria database describes an optimized crystal structure of PaCr3Ge2. The functional is PBE-GGA.

```
PaCr3Ge2
1.0
4.019 0.000 0.000
-2.009 7.699 0.137
0.000 -3.356 6.169
Ge Cr Pa
4 6 2
Cartesian
2.009 3.537 1.688
0.000 0.806 4.617
0.000 4.596 5.020
2.009 -0.252 1.285
2.009 4.996 3.645
0.000 -0.653 2.660
2.009 -0.753 3.966
2.009 1.512 3.089
0.000 2.832 3.216
0.000 5.097 2.339
2.009 2.430 6.011
0.000 1.913 0.294
```

Summary:
Crystal system ... monoclinic
Space-group type ... C2/m, No. 12
Total DFT energy (no corrections) ... -8.1182 eV per atom


(12)
This record from the Alexandria database describes an optimized crystal structure of PaCrReGe. The functional is PBE-GGA.

```
PaCrReGe
1.0
-1.207 2.744 -3.479
-2.551 -1.647 -3.445
-4.370 1.334 -0.463
Re Cr Ge Pa
1 1 1 1
Cartesian
0.000 0.000 0.000
-4.064 1.216 -3.694
-6.096 1.824 -5.541
-2.032 0.608 -1.847
```

Summary:
Crystal system ... cubic
Space-group type ... F-43m, No. 216
Total DFT energy (no corrections) ... -8.9440 eV per atom


(13)
This record from the Alexandria database describes an optimized crystal structure of PaCrGeRu. The functional is PBE-GGA.

```
PaCrGeRu
1.0
-1.564 -2.733 3.293
1.752 -4.173 0.521
2.612 -0.940 3.613
Ru Cr Pa Ge
1 1 1 1
Cartesian
1.400 -3.923 3.713
0.000 0.000 0.000
2.100 -5.884 5.570
0.700 -1.961 1.857
```

Summary:
Crystal system ... cubic
Space-group type ... F-43m, No. 216
Total DFT energy (no corrections) ... -8.4091 eV per atom


(14)
This record from the Alexandria database describes an optimized crystal structure of PaCrTcGe. The functional is PBE-GGA.

```
PaCrTcGe
1.0
4.569 0.000 0.000
2.285 3.957 0.000
2.285 1.319 3.731
Cr Pa Ge Tc
1 1 1 1
Cartesian
2.285 1.319 0.933
4.569 2.638 1.865
0.000 0.000 0.000
6.854 3.957 2.798
```

Summary:
Crystal system ... cubic
Space-group type ... F-43m, No. 216
Total DFT energy (no corrections) ... -8.6367 eV per atom